DFT (GGA-PBE) results for a geometry-optimized Re2TeP2 structure.

The structure in POSCAR format:
```
Re2TeP2
1.0
4.301 0.000 0.000
0.000 4.301 0.000
2.150 2.150 4.454
P Re Te
2 2 1
Cartesian
2.150 2.150 1.147
4.301 4.301 3.307
2.150 4.301 2.227
4.301 2.150 2.227
0.000 0.000 0.000
```

ΔE_f (raw) (eV/atom): 0.04

---

DFT (GGA-PBE) results for a geometry-optimized Ti4AuS8 structure.

The structure in POSCAR format:
```
Ti4AuS8
1.0
-0.769 -5.433 4.625
-2.934 -6.177 -2.177
4.073 -5.873 -0.654
S Ti Au
8 4 1
Cartesian
-1.350 -5.231 -0.802
0.226 -10.722 1.100
-0.318 -4.877 2.439
0.048 -2.288 0.235
0.575 -8.260 -0.995
1.989 -5.086 -0.077
1.556 -7.923 2.087
-1.619 -8.061 1.397
-1.387 -9.680 -0.466
2.252 -9.522 0.325
0.137 -6.472 0.664
-0.263 -9.293 3.066
0.277 -13.112 1.346
```

ΔE_f (raw) (eV/atom): -1.13

---

DFT (GGA-PBE) results for a geometry-optimized PdSeNO2 structure.

The structure in POSCAR format:
```
PdSeNO2
1.0
-1.593 2.647 -2.052
-2.058 1.019 2.912
3.046 2.755 1.189
Pd Se O N
1 1 2 1
Cartesian
-0.302 3.210 1.024
0.000 0.000 0.000
-0.797 1.323 -1.026
-1.029 0.509 1.456
1.523 1.378 0.594
```

ΔE_f (raw) (eV/atom): 0.85

---

DFT (GGA-PBE) results for a geometry-optimized VGeAs2N structure.

The structure in POSCAR format:
```
VGeAs2N
1.0
-1.283 -4.412 -1.853
3.163 -0.169 -1.786
2.081 -2.242 3.897
V Ge N As
1 1 1 2
Cartesian
0.000 0.000 0.000
1.981 -3.412 0.129
1.581 -0.085 -0.893
-0.641 -2.206 -0.927
1.041 -1.121 1.949
```

ΔE_f (raw) (eV/atom): 0.31

---

DFT (GGA-PBE) results for a geometry-optimized Ni2PdN structure.

The structure in POSCAR format:
```
Ni2PdN
1.0
-4.150 -2.993 -2.840
3.442 -0.289 -4.724
0.730 -4.033 -2.846
Ni Pd N
4 2 2
Cartesian
0.695 -4.291 -5.538
1.316 -1.923 -4.360
-1.483 -2.556 -2.736
-0.486 -5.862 -8.186
-1.887 -4.334 -4.734
0.000 0.000 0.000
-0.354 -1.641 -3.782
1.909 -2.982 -5.676
```

ΔE_f (raw) (eV/atom): 0.24

---

DFT (GGA-PBE) results for a geometry-optimized Zr2ScTlO structure.

The structure in POSCAR format:
```
Zr2ScTlO
1.0
5.543 0.000 0.000
0.000 3.803 0.000
0.000 0.000 5.543
Zr Tl O Sc
2 1 1 1
Cartesian
2.771 0.000 0.000
0.000 0.000 2.771
2.771 1.902 2.771
0.000 1.902 0.000
0.000 0.000 0.000
```

ΔE_f (raw) (eV/atom): 0.03

---

DFT (GGA-PBE) results for a geometry-optimized CaGa4Ru3 structure.

The structure in POSCAR format:
```
CaGa4Ru3
1.0
-3.876 -1.349 1.671
3.111 -3.823 4.132
0.252 6.559 5.878
Ca Ga Ru
2 8 6
Cartesian
1.556 -1.911 2.066
1.681 1.368 5.005
0.495 -3.663 4.066
-3.091 -0.520 4.014
-1.327 -2.687 6.356
-1.134 1.771 4.676
0.620 -0.384 7.005
0.814 4.074 5.325
-1.260 -1.508 1.737
2.577 1.907 7.667
-1.817 0.986 2.280
-1.807 4.224 5.269
-0.449 -0.991 4.427
-0.064 2.378 7.254
0.126 3.279 2.939
0.000 0.000 0.000
```

---

DFT (GGA-PBE) results for a geometry-optimized Pm3CdCo structure.

The structure in POSCAR format:
```
Pm3CdCo
1.0
5.282 0.000 0.000
0.000 5.282 0.000
0.000 0.000 5.282
Cd Pm Co
1 3 1
Cartesian
2.641 2.641 2.641
2.641 0.000 0.000
0.000 2.641 0.000
0.000 0.000 2.641
0.000 0.000 0.000
```

---

| no. | V (Å³ per cell) | uncorrected energy (Ha/atom) |
| --- | --- | --- |
| 1 | 82.37 | -0.2842 |
| 2 | 261.36 | -0.2332 |
| 3 | 58.81 | -0.1667 |
| 4 | 89.27 | -0.2193 |
| 5 | 95.50 | -0.2216 |
| 6 | 116.84 | -0.2249 |
| 7 | 251.10 | -0.2021 |
| 8 | 147.34 | -0.1659 |